Record 1
This record from Alexandria via LeMat-Bulk describes an optimized crystal structure of GePdOF2. The functional is PBE-GGA.

Cell and atoms, written as CIF:
```
data_GePdOF2
_cell_length_a 4.185
_cell_length_b 4.185
_cell_length_c 4.114
_cell_angle_alpha 90.00
_cell_angle_beta 90.00
_cell_angle_gamma 90.00
_space_group_name_H-M_alt 'P 4/m m m'
_space_group_IT_number 123
_space_group_name_Hall '-P 4 2'
loop_
_atom_site_label
_atom_site_type_symbol
_atom_site_fract_x
_atom_site_fract_y
_atom_site_fract_z
Ge1 Ge 0.000 0.000 0.000
Pd1 Pd 0.500 0.500 0.500
O1 O 0.500 0.500 0.000
F1 F 0.000 0.500 0.500
```

Record 2
This record from Alexandria via LeMat-Bulk describes an optimized crystal structure of GePdOF2. The functional is PBE-GGA.

Cell and atoms, written as CIF:
```
data_GePdOF2
_cell_length_a 4.174
_cell_length_b 4.174
_cell_length_c 3.738
_cell_angle_alpha 90.00
_cell_angle_beta 90.00
_cell_angle_gamma 90.00
_space_group_name_H-M_alt 'P 4/m m m'
_space_group_IT_number 123
_space_group_name_Hall '-P 4 2'
loop_
_atom_site_label
_atom_site_type_symbol
_atom_site_fract_x
_atom_site_fract_y
_atom_site_fract_z
Ge1 Ge 0.000 0.000 0.000
Pd1 Pd 0.500 0.500 0.500
O1 O 0.000 0.000 0.500
F1 F 0.000 0.500 0.000
```

Calculated magnetic moment, 0.00; 0.59 μB/f.u. (same order as the records).
Calculated uncorrected energy, -4.3432; -4.6484 eV per atom (same order as the records).
Calculated energy relative to the elements, uncorrected, -641; -946 meV per atom (same order as the records).